Entry 1:
{
  "formula": "Te5As4Br2",
  "functional": "PBE-GGA",
  "state": "optimized geometry",
  "raw_formation_energy_ev_per_atom": 0.04,
  "dft_energy_ev_per_atom": -3.384,
  "lattice_angstrom": [[4.026, 0.000, -0.655], [-0.278, 8.581, -1.706], [-0.296, -2.650, 10.873]],
  "species": ["As", "Te", "As", "As", "Br", "Te", "Te", "As", "Br", "Te", "Te"],
  "fractional_positions": [[0.662, 0.407, 0.323], [0.765, 0.330, 0.530], [0.338, 0.593, 0.677], [0.904, 0.826, 0.807], [0.923, 0.309, 0.846], [0.173, 0.009, 0.346], [0.235, 0.670, 0.470], [0.096, 0.174, 0.193], [0.077, 0.691, 0.154], [0.827, 0.991, 0.654], [0.500, 0.000, 0.000]]
}

Entry 2:
{
  "formula": "Ba2CaIr",
  "functional": "PBE-GGA",
  "state": "optimized geometry",
  "e_above_lowest_polymorph_mev_per_atom": 449,
  "ef_ev_per_atom": 0.26,
  "dft_energy_ev_per_atom": -3.413,
  "lattice_angstrom": [[5.200, 0.000, 0.000], [0.000, 5.213, 0.000], [0.000, 0.000, 4.848]],
  "species": ["Ba", "Ba", "Ca", "Ir"],
  "fractional_positions": [[0.000, 0.000, 0.000], [0.500, 0.500, 0.000], [0.500, 0.000, 0.500], [0.000, 0.500, 0.500]]
}